(1)
Compound: Ba2YMnCo
Source: Alexandria via LeMat-Bulk
Functional: meta-GGA SCAN
Structure: PBEsol geometry

Structure (POSCAR):
```
Ba2YMnCo
1.0
5.018 0.000 0.000
0.000 5.705 0.000
0.000 0.000 5.705
Y Mn Co Ba
1 1 1 2
direct
0.500 0.000 0.000
0.000 0.000 0.000
0.500 0.500 0.500
0.000 0.000 0.500
0.000 0.500 0.000
```

**SG**: No. 123
**V**: 32.66 Å³/atom
**Size of the total moment**: 3.66 Bohr magnetons per cell
**Calculated formation energy**: 0.84 eV/atom
**Energy**: -27.6627 eV per atom

(2)
Compound: Ba3CoMo
Source: Alexandria via LeMat-Bulk
Functional: meta-GGA SCAN
Structure: PBEsol geometry

Structure (POSCAR):
```
Ba3CoMo
1.0
-3.069 -4.616 1.524
3.563 -3.362 -3.010
3.308 -0.662 4.656
Mo Co Ba
1 1 3
direct
0.000 0.000 0.000
0.500 0.500 0.500
0.000 0.500 0.000
0.000 0.000 0.500
0.500 0.000 0.000
```

**SG**: No. 221
**V**: 38.01 Å³/atom
**Size of the total moment**: 2.40 Bohr magnetons per cell
**Calculated formation energy**: 1.29 eV/atom
**Energy**: -32.8819 eV per atom

(3)
Compound: BaCo2Mo
Source: Alexandria via LeMat-Bulk
Functional: meta-GGA SCAN
Structure: PBEsol geometry

Structure (POSCAR):
```
BaCo2Mo
1.0
4.050 0.000 0.000
-2.025 3.503 -0.176
0.000 -2.043 5.953
Mo Co Ba
1 2 1
direct
0.558 0.115 0.673
0.935 0.869 0.804
0.263 0.527 0.790
0.745 0.489 0.233
```

**SG**: No. 160
**Excess energy over the best structure of this formula in the dataset**: 0.0 meV per atom
**V**: 20.75 Å³/atom
**Size of the total moment**: 2.28 Bohr magnetons per cell
**Calculated formation energy**: 0.51 eV/atom
**Energy**: -26.7493 eV per atom

(4)
Compound: BaCo2Mo
Source: Alexandria via LeMat-Bulk
Functional: meta-GGA SCAN
Structure: PBEsol geometry

Structure (POSCAR):
```
BaCo2Mo
1.0
-0.836 3.850 -1.050
-1.998 0.780 -3.468
-5.956 1.224 1.310
Mo Co Ba
1 2 1
direct
0.000 0.000 0.000
0.690 0.690 0.930
0.310 0.310 0.070
0.500 0.500 0.500
```

**SG**: No. 166
**Excess energy over the best structure of this formula in the dataset**: 2.1 meV per atom
**V**: 20.72 Å³/atom
**Size of the total moment**: 1.53 Bohr magnetons per cell
**Calculated formation energy**: 0.51 eV/atom
**Energy**: -26.7472 eV per atom

(5)
Compound: BaCo2Mo
Source: Alexandria via LeMat-Bulk
Functional: meta-GGA SCAN
Structure: PBEsol geometry

Structure (POSCAR):
```
BaCo2Mo
1.0
-0.755 2.409 -3.722
-0.902 -2.083 -3.882
-4.138 0.198 -1.750
Mo Co Ba
1 2 1
direct
0.750 0.750 0.750
0.000 0.000 0.000
0.250 0.250 0.250
0.500 0.500 0.500
```

**SG**: No. 216
**Excess energy over the best structure of this formula in the dataset**: 920.2 meV per atom
**V**: 16.08 Å³/atom
**Size of the total moment**: 2.26 Bohr magnetons per cell
**Calculated formation energy**: 1.43 eV/atom
**Energy**: -25.8291 eV per atom

(6)
Compound: BaCoMo2S
Source: Alexandria via LeMat-Bulk
Functional: meta-GGA SCAN
Structure: PBEsol geometry

Structure (POSCAR):
```
BaCoMo2S
1.0
-3.971 -0.507 -2.226
2.281 -2.931 -3.401
-1.048 -4.056 2.794
S Mo Co Ba
1 2 1 1
direct
0.500 0.500 0.500
0.000 0.000 0.500
0.000 0.500 0.000
0.500 0.000 0.000
0.000 0.000 0.000
```

**ΔE_f (raw)**: 3.017 eV/atom
**SG**: No. 123
**V**: 23.23 Å³/atom
**Size of the total moment**: 7.26 Bohr magnetons per cell
**Energy**: -24.2334 eV per atom

(7)
Compound: BaCoMo2Se
Source: Alexandria via LeMat-Bulk
Functional: meta-GGA SCAN
Structure: PBEsol geometry

Structure (POSCAR):
```
BaCoMo2Se
1.0
-1.209 -2.058 -3.941
-0.696 -4.336 2.478
-4.816 1.245 0.827
Mo Co Ba Se
2 1 1 1
direct
0.000 0.000 0.500
0.000 0.500 0.000
0.500 0.000 0.000
0.000 0.000 0.000
0.500 0.500 0.500
```

**ΔE_f (raw)**: 2.860 eV/atom
**SG**: No. 123
**V**: 23.43 Å³/atom
**Size of the total moment**: 7.21 Bohr magnetons per cell
**Energy**: -26.4803 eV per atom

(8)
Compound: BaCoN3
Source: Alexandria via LeMat-Bulk
Functional: meta-GGA SCAN
Structure: PBEsol geometry

Structure (POSCAR):
```
BaCoN3
1.0
-1.464 2.348 2.802
0.482 -2.868 2.655
3.623 1.330 0.779
Co Ba N
1 1 3
direct
0.000 0.000 0.000
0.500 0.500 0.500
0.000 0.500 0.000
0.000 0.000 0.500
0.500 0.000 0.000
```

**ΔE_f (raw)**: 0.466 eV/atom
**SG**: No. 221
**V**: 12.21 Å³/atom
**Size of the total moment**: 5.31 Bohr magnetons per cell
**Energy**: -16.4798 eV per atom

(9)
Compound: BaCoNO2
Source: Alexandria via LeMat-Bulk
Functional: meta-GGA SCAN
Structure: PBEsol geometry

Structure (POSCAR):
```
BaCoNO2
1.0
-2.943 -1.915 -0.051
2.210 -3.415 0.687
-0.424 0.544 4.067
Co Ba O N
1 1 2 1
direct
0.000 0.000 0.000
0.500 0.500 0.500
0.000 0.000 0.500
0.000 0.500 0.000
0.500 0.000 0.000
```

**ΔE_f (raw)**: -1.040 eV/atom
**SG**: No. 123
**V**: 11.95 Å³/atom
**Size of the total moment**: 0.31 Bohr magnetons per cell
**Energy**: -16.7612 eV per atom

(10)
Compound: BaZnCoN2
Source: Alexandria via LeMat-Bulk
Functional: meta-GGA SCAN
Structure: PBEsol geometry

Structure (POSCAR):
```
BaZnCoN2
1.0
4.548 0.000 0.000
0.000 4.548 0.000
0.000 0.000 5.364
Zn Co Ba N
1 1 1 2
direct
0.500 0.500 0.500
0.000 0.000 0.500
0.000 0.000 0.000
0.000 0.500 0.000
0.500 0.000 0.000
```

**ΔE_f (raw)**: 2.197 eV/atom
**SG**: No. 123
**V**: 22.19 Å³/atom
**Size of the total moment**: 4.22 Bohr magnetons per cell
**Energy**: -15.5930 eV per atom

(11)
Compound: Ba2ZnCoN
Source: Alexandria via LeMat-Bulk
Functional: meta-GGA SCAN
Structure: PBEsol geometry

Structure (POSCAR):
```
Ba2ZnCoN
1.0
-2.618 -1.946 -1.234
-0.759 -2.383 5.368
-3.838 4.298 1.365
Zn Co Ba N
1 1 2 1
direct
0.500 0.500 0.500
0.000 0.000 0.000
0.000 0.000 0.500
0.000 0.500 0.000
0.500 0.000 0.000
```

**ΔE_f (raw)**: 0.010 eV/atom
**SG**: No. 123
**V**: 24.46 Å³/atom
**Size of the total moment**: 0.00 Bohr magnetons per cell
**Energy**: -23.8325 eV per atom

(12)
Compound: BaNaCo2
Source: Alexandria via LeMat-Bulk
Functional: meta-GGA SCAN
Structure: PBEsol geometry

Structure (POSCAR):
```
BaNaCo2
1.0
-1.672 4.635 -0.852
-4.912 0.857 -0.374
-2.384 2.502 3.615
Na Co Ba
1 2 1
direct
0.000 0.000 0.000
0.250 0.250 0.250
0.750 0.750 0.750
0.500 0.500 0.500
```

**SG**: No. 225
**V**: 22.10 Å³/atom
**Size of the total moment**: 3.27 Bohr magnetons per cell
**Calculated formation energy**: 0.89 eV/atom
**Energy**: -18.7029 eV per atom

(13)
Compound: BaNbCo2
Source: Alexandria via LeMat-Bulk
Functional: meta-GGA SCAN
Structure: PBEsol geometry

Structure (POSCAR):
```
BaNbCo2
1.0
-0.558 -1.941 4.163
1.007 -4.473 0.621
3.699 -1.213 2.501
Nb Co Ba
1 2 1
direct
0.000 0.000 0.000
0.250 0.250 0.250
0.750 0.750 0.750
0.500 0.500 0.500
```

**SG**: No. 225
**V**: 17.51 Å³/atom
**Size of the total moment**: 0.01 Bohr magnetons per cell
**Calculated formation energy**: 1.20 eV/atom
**Energy**: -25.6221 eV per atom

(14)
Compound: Ba8Nb6CoO24
Source: Alexandria via LeMat-Bulk
Functional: meta-GGA SCAN
Structure: PBEsol geometry

Structure (POSCAR):
```
Ba8Nb6CoO24
1.0
-2.106 4.627 2.770
-3.585 -4.171 -1.808
2.075 -8.940 16.512
Ba Nb Co O
8 6 1 24
direct
0.333 0.667 0.682
0.333 0.667 0.061
0.667 0.333 0.939
0.667 0.333 0.318
0.667 0.333 0.544
0.333 0.667 0.456
0.000 0.000 0.185
0.000 0.000 0.815
0.000 0.000 0.615
0.333 0.667 0.253
0.000 0.000 0.385
0.667 0.333 0.120
0.667 0.333 0.747
0.333 0.667 0.880
0.000 0.000 0.000
0.833 0.665 0.693
0.665 0.833 0.307
0.834 0.668 0.430
0.166 0.332 0.570
0.501 0.002 0.814
0.499 0.998 0.186
0.499 0.501 0.186
0.002 0.501 0.186
0.998 0.499 0.814
0.501 0.499 0.814
0.830 0.661 0.064
0.668 0.834 0.570
0.332 0.166 0.430
0.833 0.167 0.693
0.166 0.834 0.570
0.170 0.830 0.936
0.167 0.833 0.307
0.335 0.167 0.693
0.661 0.830 0.936
0.170 0.339 0.936
0.834 0.166 0.430
0.830 0.170 0.064
0.339 0.170 0.064
0.167 0.335 0.307
```

**ΔE_f (raw)**: -3.006 eV/atom
**SG**: No. 164
**V**: 14.06 Å³/atom
**Size of the total moment**: 3.00 Bohr magnetons per cell
**Energy**: -20.4943 eV per atom

(15)
Compound: Ba2NbCoO6
Source: Alexandria via LeMat-Bulk
Functional: meta-GGA SCAN
Structure: PBEsol geometry

Structure (POSCAR):
```
Ba2NbCoO6
1.0
5.611 0.000 0.000
2.805 4.859 0.000
2.805 1.620 4.581
Nb Co Ba O
1 1 2 6
direct
0.500 0.500 0.500
0.000 0.000 0.000
0.750 0.750 0.750
0.250 0.250 0.250
0.246 0.754 0.246
0.246 0.246 0.754
0.754 0.754 0.246
0.246 0.754 0.754
0.754 0.246 0.754
0.754 0.246 0.246
```

**ΔE_f (raw)**: -2.663 eV/atom
**SG**: No. 225
**V**: 12.49 Å³/atom
**Size of the total moment**: 0.00 Bohr magnetons per cell
**Energy**: -19.3547 eV per atom

(16)
Compound: Ba3Nb2CoO9
Source: Alexandria via LeMat-Bulk
Functional: meta-GGA SCAN
Structure: PBEsol geometry

Structure (POSCAR):
```
Ba3Nb2CoO9
1.0
-1.291 1.641 -5.365
2.562 -5.073 0.921
-6.332 -3.093 0.578
Ba Nb Co O
3 2 1 9
direct
0.000 0.000 0.000
0.333 0.667 0.664
0.667 0.333 0.336
0.333 0.667 0.179
0.667 0.333 0.821
0.000 0.000 0.500
0.500 0.500 0.000
0.500 0.000 0.000
0.000 0.500 0.000
0.169 0.831 0.329
0.169 0.338 0.329
0.662 0.831 0.329
0.831 0.169 0.671
0.831 0.662 0.671
0.338 0.169 0.671
```

**ΔE_f (raw)**: -2.849 eV/atom
**SG**: No. 164
**V**: 13.53 Å³/atom
**Size of the total moment**: 3.00 Bohr magnetons per cell
**Energy**: -20.0683 eV per atom

(17)
Compound: BaNd2CoO5
Source: Alexandria via LeMat-Bulk
Functional: meta-GGA SCAN
Structure: PBEsol geometry

Structure (POSCAR):
```
BaNd2CoO5
1.0
3.722 0.000 0.000
0.000 5.911 0.000
-1.861 -2.955 5.885
Co Nd Ba O
1 2 1 5
direct
0.000 0.000 0.000
0.297 0.797 0.594
0.703 0.203 0.406
0.500 0.500 0.000
0.856 0.099 0.711
0.144 0.901 0.289
0.144 0.387 0.289
0.856 0.613 0.711
0.500 0.000 0.000
```

**ΔE_f (raw)**: -2.949 eV/atom
**SG**: No. 71
**V**: 14.38 Å³/atom
**Size of the total moment**: 2.32 Bohr magnetons per cell
**Energy**: -22.4126 eV per atom

(18)
Compound: BaNd3Co4O12
Source: Alexandria via LeMat-Bulk
Functional: meta-GGA SCAN
Structure: PBEsol geometry

Structure (POSCAR):
```
BaNd3Co4O12
1.0
-1.485 -5.076 1.065
5.141 -1.604 -0.014
0.458 1.405 7.332
Ba Nd Co O
1 3 4 12
direct
0.504 0.504 0.500
0.002 0.010 0.500
0.495 0.494 0.000
0.991 0.991 0.000
0.000 0.501 0.751
0.500 0.999 0.248
0.000 0.501 0.249
0.500 0.999 0.752
0.781 0.781 0.718
0.748 0.252 0.236
0.243 0.242 0.203
0.255 0.745 0.772
0.243 0.242 0.797
0.255 0.745 0.228
0.781 0.781 0.282
0.748 0.252 0.764
0.443 0.016 0.500
0.020 0.451 0.500
0.548 0.951 0.000
0.944 0.542 0.000
```

**ΔE_f (raw)**: -2.433 eV/atom
**SG**: No. 6
**V**: 10.86 Å³/atom
**Size of the total moment**: 1.13 Bohr magnetons per cell
**Energy**: -18.1472 eV per atom

(19)
Compound: RbBaCoNi2
Source: Alexandria via LeMat-Bulk
Functional: meta-GGA SCAN
Structure: PBEsol geometry

Structure (POSCAR):
```
RbBaCoNi2
1.0
-4.177 1.310 -1.839
-0.583 -4.478 -1.866
-2.249 -1.416 4.100
Ni Co Ba Rb
2 1 1 1
direct
0.000 0.000 0.500
0.000 0.500 0.000
0.500 0.000 0.000
0.500 0.500 0.500
0.000 0.000 0.000
```

**SG**: No. 123
**V**: 22.67 Å³/atom
**Size of the total moment**: 0.85 Bohr magnetons per cell
**Calculated formation energy**: 1.83 eV/atom
**Energy**: -20.1541 eV per atom

(20)
Compound: Ba3CoO5
Source: Alexandria via LeMat-Bulk
Functional: meta-GGA SCAN
Structure: PBEsol geometry

Structure (POSCAR):
```
Ba3CoO5
1.0
-2.050 5.081 -4.734
-5.284 -2.640 4.992
-1.944 4.318 5.477
Ba Co O
6 2 10
direct
0.250 0.500 0.750
0.750 0.500 0.250
0.174 0.000 0.674
0.826 0.000 0.326
0.674 0.000 0.826
0.326 0.000 0.174
0.750 0.500 0.750
0.250 0.500 0.250
0.000 0.000 0.000
0.500 0.000 0.500
0.795 0.312 0.984
0.205 0.688 0.016
0.516 0.312 0.705
0.295 0.312 0.205
0.984 0.688 0.516
0.484 0.688 0.295
0.705 0.688 0.795
0.016 0.312 0.484
```

**ΔE_f (raw)**: -2.380 eV/atom
**SG**: No. 140
**V**: 16.88 Å³/atom
**Size of the total moment**: 10.05 Bohr magnetons per cell
**Energy**: -20.9480 eV per atom